(1)
Ac2Nd5DyEr | PBE | optimized geometry Values from VASP.

The formation energy is 134 meV/atom.

```
&SYSTEM
  ibrav = 0, nat = 18, ntyp = 4
/
ATOMIC_SPECIES
Ac 227.00 Ac.upf
Nd 144.24 Nd.upf
Dy 162.50 Dy.upf
Er 167.26 Er.upf
ATOMIC_POSITIONS angstrom
Ac -5.245 10.066 4.760
Ac 0.456 7.821 2.942
Ac -0.850 3.488 2.217
Ac -7.033 4.052 3.732
Nd -5.823 0.932 5.396
Nd -2.750 9.717 2.469
Nd -5.205 8.618 8.140
Nd -2.408 7.819 5.399
Nd -7.629 7.188 5.579
Nd -2.028 6.503 0.480
Nd -3.369 3.755 4.493
Nd -1.317 3.450 -1.432
Nd -4.366 3.370 1.151
Nd -0.224 0.239 0.295
Dy -0.360 11.113 1.013
Dy -4.822 5.624 6.536
Er -4.819 6.728 2.971
Er -3.098 0.479 2.863
CELL_PARAMETERS angstrom
-3.609 1.792 -4.204
-5.848 0.045 9.072
2.972 10.362 1.864
```

(2)
Y4OsI5 | PBE | optimized geometry Values from VASP.

As for the formation energy without anion corrections: -99.2 kJ/mol of atoms.

```
&SYSTEM
  ibrav = 0, nat = 10, ntyp = 3
/
ATOMIC_SPECIES
Y 88.91 Y.upf
Os 190.23 Os.upf
I 126.90 I.upf
ATOMIC_POSITIONS angstrom
Y 2.423 -8.320 -4.212
Y -0.216 -10.567 -2.610
Y -1.953 -2.738 -0.055
Y 0.686 -0.491 -1.658
Os -1.934 -0.186 -0.745
I -0.344 -7.395 -3.070
I -1.983 -6.122 0.869
I 2.453 -4.937 -5.136
I -0.269 -1.353 -4.776
I 0.814 -3.663 -1.197
CELL_PARAMETERS angstrom
-3.868 -0.372 -1.489
3.329 -2.333 -8.064
1.008 -8.353 5.285
```

(3)
AgAsOs | PBE | optimized geometry Values from VASP.

The formation energy is 439 meV/atom.

```
&SYSTEM
  ibrav = 0, nat = 3, ntyp = 3
/
ATOMIC_SPECIES
As 74.92 As.upf
Os 190.23 Os.upf
Ag 107.87 Ag.upf
ATOMIC_POSITIONS angstrom
As 2.089 1.206 1.668
Os 0.000 2.412 1.672
Ag 0.000 0.000 0.001
CELL_PARAMETERS angstrom
4.177 0.000 0.000
-2.089 3.618 0.000
0.000 0.000 3.341
```